Compound: TcSbHSeF
Source: the Alexandria database
Functional: PBE
Structure: relaxed

Summary:
The calculation puts the calculated volume at 176.8 Å³/cell. The density is 6.0 Mg/m³. Its polymorph energy (0 for the lowest one) is 0.047 kcal/mol of atoms.

a b c (Å): 6.7895 3.1544 8.6611
angles (deg): 90.00 107.62 90.00
Fractional coordinates of all 10 atoms:
Se: 0.2087 0.0000 0.3984
Se: 0.2087 0.5000 0.8984
H: 0.1909 0.5000 0.1811
H: 0.1909 0.0000 0.6811
Tc: 0.2871 0.5000 0.6335
Tc: 0.2871 0.0000 0.1335
Sb: 0.6322 0.0000 0.7442
Sb: 0.6322 0.5000 0.2442
F: 0.7272 0.0000 0.5423
F: 0.7272 0.5000 0.0423